1.
Computed, not measured: an optimized crystal structure of SiSN at the GGA-PBE level of DFT.

extended XYZ file:
```
3
Lattice="3.605 0.000 0.000 0.602 3.567 0.000 1.545 1.312 3.817" Properties=species:S:1:pos:R:3 pbc="T T T"
Si 0.000 0.000 0.000
S 4.036 3.426 3.092
N 3.733 3.174 1.555
```

Excess energy over the best structure of this formula in the dataset   898 meV per atom

2.
Computed, not measured: an optimized crystal structure of LiPd2AuO at the GGA-PBE level of DFT.

extended XYZ file:
```
5
Lattice="4.274 0.000 0.000 0.000 4.274 0.000 0.000 0.000 3.838" Properties=species:S:1:pos:R:3 pbc="T T T"
Li 0.000 0.000 0.000
Pd 0.000 2.137 1.919
Pd 2.137 0.000 1.919
Au 2.137 2.137 0.000
O 0.000 0.000 1.919
```

Calculated total energy   -4.60 eV per atom